Entry 1:
! Pr12Y7Th (PBE, optimized geometry); values from VASP
! Relative energy among the computed polymorphs in meV per atom: 507
! Symmetry: Im-3, No. 204
! Density in Mg/m³: 5.22
! Total energy in eV for the cell shown: -95.81
! E_form in eV/atom: 0.711
&SYSTEM
  ibrav = 0, nat = 20, ntyp = 3
/
ATOMIC_SPECIES
Pr 140.91 Pr.upf
Y 88.91 Y.upf
Th 232.04 Th.upf
CELL_PARAMETERS angstrom
-6.3442 -7.8675 -1.1015
7.0319 -0.2638 -7.3377
4.5490 -0.5596 9.0748
ATOMIC_POSITIONS crystal
Pr 0.0009 0.7743 0.2266
Pr 0.7734 0.5477 0.7743
Pr 0.2257 0.7734 0.9991
Pr 0.5477 0.7743 0.7734
Pr 0.7743 0.7734 0.5477
Pr 0.2257 0.2266 0.4523
Pr 0.7743 0.2266 0.0009
Pr 0.7734 0.9991 0.2257
Pr 0.2266 0.0009 0.7743
Pr 0.2266 0.4523 0.2257
Pr 0.4523 0.2257 0.2266
Pr 0.9991 0.2257 0.7734
Y 0.5000 0.0000 0.5000
Y 0.0000 0.0000 0.5000
Y 0.0000 0.5000 0.5000
Y 0.0000 0.5000 0.0000
Y 0.5000 0.5000 0.5000
Y 0.5000 0.0000 0.0000
Y 0.5000 0.5000 0.0000
Th 0.0000 0.0000 0.0000



Entry 2:
! Ca2InTeI (PBE, optimized geometry); values from VASP
! Symmetry: P4/mmm, No. 123
! Density in Mg/m³: 3.56
! Total energy in eV for the cell shown: -13.11
&SYSTEM
  ibrav = 0, nat = 5, ntyp = 4
/
ATOMIC_SPECIES
Ca 40.08 Ca.upf
Te 127.60 Te.upf
In 114.82 In.upf
I 126.90 I.upf
CELL_PARAMETERS angstrom
-4.1742 4.4636 -0.4266
-2.2181 -1.5490 5.4965
3.5494 3.5519 2.4333
ATOMIC_POSITIONS crystal
Ca 0.0000 0.5000 0.0000
Ca 0.5000 0.0000 0.0000
Te 0.0000 0.0000 0.5000
In 0.0000 0.0000 0.0000
I 0.5000 0.5000 0.5000



Entry 3:
! YTl2Ag2Br6 (PBE, optimized geometry); values from VASP
! Symmetry: C2/m, No. 12
! Density in Mg/m³: 5.23
! Total energy in eV for the cell shown: -37.08
&SYSTEM
  ibrav = 0, nat = 11, ntyp = 4
/
ATOMIC_SPECIES
Br 79.90 Br.upf
Y 88.91 Y.upf
Tl 204.38 Tl.upf
Ag 107.87 Ag.upf
CELL_PARAMETERS angstrom
-5.5943 -6.2068 2.7306
6.6081 -1.4332 -3.8697
0.6368 2.7539 7.5643
ATOMIC_POSITIONS crystal
Br 0.7551 0.5102 0.6569
Br 0.3325 0.0978 0.7970
Br 0.2449 0.4898 0.3431
Br 0.6675 0.9022 0.2030
Br 0.2347 0.9022 0.2030
Br 0.7653 0.0978 0.7970
Y 0.5000 0.0000 0.5000
Tl 0.2725 0.5450 0.8045
Tl 0.7275 0.4550 0.1955
Ag 0.9638 0.9276 0.6321
Ag 0.0362 0.0724 0.3679



Entry 4:
! Pr4CuAg2 (PBE, optimized geometry); values from VASP
! Symmetry: R-3m, No. 166
! Density in Mg/m³: 6.86
! Total energy in eV for the cell shown: -29.33
! E_form in eV/atom: -0.059
&SYSTEM
  ibrav = 0, nat = 7, ntyp = 3
/
ATOMIC_SPECIES
Pr 140.91 Pr.upf
Ag 107.87 Ag.upf
Cu 63.55 Cu.upf
CELL_PARAMETERS angstrom
-2.6369 -3.4602 -2.9395
-3.5704 -3.1466 2.2177
-8.1277 3.6487 -1.6931
ATOMIC_POSITIONS crystal
Pr 0.1232 0.1232 0.6303
Pr 0.6268 0.6268 0.1197
Pr 0.8768 0.8768 0.3697
Pr 0.3732 0.3732 0.8803
Ag 0.7514 0.7514 0.7457
Ag 0.2486 0.2486 0.2543
Cu 0.0000 0.0000 0.0000



Entry 5:
! MgPtPb4 (PBE, optimized geometry); values from VASP
! Symmetry: F-43m, No. 216
! Density in Mg/m³: 9.89
! Total energy in eV for the cell shown: -19.74
! E_form in eV/atom: 0.454
&SYSTEM
  ibrav = 0, nat = 6, ntyp = 3
/
ATOMIC_SPECIES
Pt 195.08 Pt.upf
Pb 207.20 Pb.upf
Mg 24.30 Mg.upf
CELL_PARAMETERS angstrom
6.1702 -1.0904 -0.5452
2.1015 -5.8831 -0.7279
2.3954 -1.8230 -5.5223
ATOMIC_POSITIONS crystal
Pt 0.7500 0.7500 0.7500
Pb 0.3754 0.3754 0.8739
Pb 0.3754 0.8739 0.3754
Pb 0.3754 0.3754 0.3754
Pb 0.8739 0.3754 0.3754
Mg 0.0000 0.0000 0.0000



Entry 6:
! HoMnSn2Te5 (PBE, optimized geometry); values from VASP
! Symmetry: Cmc2_1, No. 36
! Density in Mg/m³: 5.97
! Total energy in eV for the cell shown: -83.82
&SYSTEM
  ibrav = 0, nat = 18, ntyp = 4
/
ATOMIC_SPECIES
Te 127.60 Te.upf
Mn 54.94 Mn.upf
Sn 118.71 Sn.upf
Ho 164.93 Ho.upf
CELL_PARAMETERS angstrom
-1.8447 3.7214 1.1422
-7.5161 -6.7403 1.6984
4.5941 -1.7865 13.2407
ATOMIC_POSITIONS crystal
Te 0.5019 0.0038 0.7625
Te 0.6828 0.3656 0.1729
Te 0.6569 0.3138 0.5210
Te 0.3172 0.6344 0.6729
Te 0.3069 0.6137 0.3638
Te 0.0310 0.0620 0.0240
Te 0.3431 0.6862 0.0210
Te 0.9690 0.9380 0.5240
Te 0.6931 0.3863 0.8638
Te 0.4981 0.9962 0.2625
Mn 0.5692 0.1383 0.9224
Mn 0.4308 0.8617 0.4224
Sn 0.0733 0.1466 0.3649
Sn 0.9267 0.8534 0.8649
Sn 0.8298 0.6596 0.1708
Sn 0.1702 0.3404 0.6708
Ho 0.8072 0.6143 0.5216
Ho 0.1928 0.3857 0.0216



Number 1: V 40.45 Å³/atom, magnetization 0.00 μB per formula unit. Number 2: V 41.88 Å³/atom, magnetization 0.00 μB per formula unit. Number 3: V 34.43 Å³/atom, magnetization 0.00 μB per formula unit. Number 4: V 29.15 Å³/atom, magnetization 1.03 μB per formula unit. Number 5: V 29.32 Å³/atom, magnetization 0.00 μB per formula unit. Number 6: V 33.84 Å³/atom, magnetization 4.14 μB per formula unit.